(1)
VASP calculation (PBE) on a relaxed structure of Tb3Pm2Dy7.

Lattice parameters (Å, degrees): 3.581 5.797 19.277 103.96 90.00 90.00
Fractional positions:
Dy1 0.500 0.280 0.538
Tb1 0.000 0.854 0.631
Pm1 0.500 0.584 0.294
Tb2 0.000 0.146 0.369
Dy2 0.000 0.458 0.142
Dy3 0.500 0.012 0.825
Dy4 0.000 0.000 0.000
Dy5 0.000 0.542 0.858
Dy6 0.500 0.720 0.462
Tb3 0.500 0.500 0.000
Pm2 0.500 0.416 0.706
Dy7 0.500 0.988 0.175

Results
energy above the most stable polymorph in this dataset: 16 meV per atom
space-group type: P2/m (10)



(2)
VASP calculation (PBE) on a relaxed structure of TbPm2Dy4.

Lattice parameters (Å, degrees): 6.090 6.617 11.689 90.00 105.27 90.00
Fractional positions:
Dy1 0.857 0.250 0.573
Dy2 0.636 0.495 0.288
Pm1 0.707 0.750 0.553
Pm2 0.293 0.250 0.447
Pm3 0.393 0.250 0.993
Pm4 0.607 0.750 0.007
Tb1 0.835 0.250 0.857
Dy3 0.985 0.750 0.839
Dy4 0.143 0.750 0.427
Dy5 0.364 0.995 0.712
Tb2 0.165 0.750 0.143
Dy6 0.364 0.505 0.712
Dy7 0.015 0.250 0.161
Dy8 0.636 0.005 0.288

Results
energy above the most stable polymorph in this dataset: 84 meV per atom
space-group type: P2_1/m (11)



(3)
VASP calculation (PBE) on a relaxed structure of Tb12Pm6Dy.

Lattice parameters (Å, degrees): 8.758 8.758 8.758 98.74 98.74 98.74
Fractional positions:
Tb1 0.242 0.500 0.758
Pm1 0.096 0.658 0.096
Tb2 0.917 0.644 0.644
Tb3 0.083 0.356 0.356
Tb4 0.242 0.758 0.500
Pm2 0.658 0.096 0.096
Dy1 0.000 0.000 0.000
Tb5 0.644 0.644 0.917
Pm3 0.096 0.096 0.658
Tb6 0.356 0.356 0.083
Pm4 0.342 0.904 0.904
Pm5 0.904 0.342 0.904
Tb7 0.500 0.242 0.758
Tb8 0.356 0.083 0.356
Pm6 0.904 0.904 0.342
Tb9 0.500 0.758 0.242
Tb10 0.758 0.500 0.242
Tb11 0.644 0.917 0.644
Tb12 0.758 0.242 0.500

Results
energy above the most stable polymorph in this dataset: 38 meV per atom
space-group type: R-3m (166)



(4)
VASP calculation (PBE) on a relaxed structure of Tb7PmDy2.

Lattice parameters (Å, degrees): 5.607 9.188 9.188 123.18 90.00 90.00
Fractional positions:
Tb1 0.500 0.708 0.937
Tb2 0.000 0.783 0.217
Tb3 0.500 0.937 0.708
Tb4 0.500 0.500 0.500
Pm1 0.000 0.000 0.000
Tb5 0.000 0.217 0.783
Tb6 0.500 0.063 0.292
Tb7 0.500 0.292 0.063
Dy1 0.500 0.704 0.296
Dy2 0.500 0.296 0.704

Results
energy above the most stable polymorph in this dataset: 673 meV per atom
space-group type: Cmmm (65)



(5)
VASP calculation (PBE) on a relaxed structure of TbPm4Dy15.

Lattice parameters (Å, degrees): 5.044 5.044 25.159 90.00 90.00 90.00
Fractional positions:
Dy1 0.000 0.500 0.500
Dy2 0.500 0.500 0.600
Dy3 0.500 0.000 0.099
Dy4 0.500 0.500 0.199
Pm1 0.000 0.000 0.600
Dy5 0.000 0.500 0.300
Dy6 0.000 0.500 0.099
Dy7 0.500 0.500 0.400
Dy8 0.500 0.500 0.801
Pm2 0.000 0.000 0.400
Dy9 0.500 0.000 0.300
Dy10 0.500 0.500 0.000
Pm3 0.000 0.000 0.801
Dy11 0.000 0.500 0.901
Dy12 0.500 0.000 0.700
Tb1 0.000 0.000 0.000
Dy13 0.000 0.500 0.700
Pm4 0.000 0.000 0.199
Dy14 0.500 0.000 0.901
Dy15 0.500 0.000 0.500

Results
space-group type: P4/mmm (123)



(6)
VASP calculation (PBE) on a relaxed structure of Tb3Pm2Dy6.

Lattice parameters (Å, degrees): 4.735 4.735 16.966 98.02 98.02 90.00
Fractional positions:
Pm1 0.454 0.454 0.908
Dy1 0.878 0.378 0.756
Tb1 0.000 0.000 0.000
Pm2 0.546 0.546 0.092
Dy2 0.122 0.622 0.244
Dy3 0.304 0.304 0.608
Dy4 0.696 0.696 0.392
Dy5 0.378 0.878 0.756
Tb2 0.799 0.799 0.598
Dy6 0.622 0.122 0.244
Tb3 0.201 0.201 0.402

Results
energy above the most stable polymorph in this dataset: 86 meV per atom
space-group type: I4/mmm (139)



Ordered DFT total energy results: -4.55; -4.52; -4.46; -3.95; -4.62; -4.37; unit eV per atom.
Ordered calculated formation energy results: 0.086; 0.132; 0.210; 0.689; 0.018; 0.271; unit eV per atom.